1.
DFT (PBE) results for crystalline NpTcIr at its relaxed geometry.

Cell: 4.559 5.348 5.348 Å, 93.82 64.77 64.77°
Each line ends with the local moment (μB).
Positions (direct):
Np: 0.000 0.829 0.171  2.24
Tc: 0.500 0.672 0.328  -0.35
Ir: 0.252 0.248 0.248  -0.13
Np: 0.000 0.171 0.829  2.24
Ir: 0.748 0.752 0.752  -0.13
Tc: 0.500 0.328 0.672  -0.35

Summary:
Total DFT energy (no corrections) in eV per atom: -10.671
Space group: Immm

2.
DFT (PBE) results for crystalline BaCaIr2 at its relaxed geometry.

Cell: 5.680 5.680 5.680 Å, 134.63 134.63 66.11°
Positions (direct):
Ir: 0.000 0.000 0.000
Ir: 0.250 0.750 0.500
Ba: 0.500 0.500 0.000
Ca: 0.750 0.250 0.500

Summary:
Total DFT energy (no corrections) in eV per atom: -4.988
Space group: I-4m2

3.
DFT (PBE) results for crystalline Er2Sc2Al at its relaxed geometry.

Cell: 4.688 4.688 8.792 Å, 74.54 74.54 60.00°
Positions (direct):
Al: 0.000 0.000 0.000
Er: 0.568 0.568 0.296
Sc: 0.696 0.696 0.911
Sc: 0.304 0.304 0.089
Er: 0.432 0.432 0.704

Summary:
Total DFT energy (no corrections) in eV per atom: -4.717
Space group: R-3m

4.
DFT (PBE) results for crystalline Pu4Ga3Si at its relaxed geometry.

Cell: 5.471 2.858 11.248 Å, 90.00 90.00 90.00°
Each line ends with the local moment (μB).
Positions (direct):
Si: 0.500 0.500 0.149  -0.04
Pu: 0.000 0.000 0.079  5.39
Pu: 0.500 0.000 0.400  -5.47
Ga: 0.000 0.000 0.333  -0.01
Pu: 0.500 0.500 0.696  5.50
Pu: 0.000 0.500 0.567  5.38
Ga: 0.000 0.500 0.838  -0.03
Ga: 0.500 0.000 0.938  0.00

Summary:
Space group: Pmm2
E_form (uncorrected) in meV per atom: 59.7

5.
DFT (PBE) results for crystalline Li2CaMnCl6 at its relaxed geometry.

Cell: 6.553 6.553 7.095 Å, 62.50 62.49 59.99°
Each line ends with the local moment (μB).
Positions (direct):
Cl: 0.725 0.121 0.761  0.03
Cl: 0.393 0.725 0.761  0.03
Li: 0.015 0.015 0.955  0.00
Cl: 0.922 0.593 0.246  0.03
Cl: 0.593 0.239 0.246  0.03
Ca: 0.818 0.818 0.547  0.01
Cl: 0.122 0.393 0.761  0.03
Mn: 0.320 0.320 0.039  4.44
Li: 0.516 0.516 0.452  0.00
Cl: 0.239 0.922 0.246  0.03

Summary:
Space group: R3
E_form (uncorrected) in meV per atom: -1744.9

6.
DFT (PBE) results for crystalline Pa2In2Te7 at its relaxed geometry.

Cell: 7.059 8.060 7.059 Å, 90.00 99.12 90.00°
Positions (direct):
Te: 0.500 0.749 0.000
Te: 0.500 0.251 0.000
Te: 0.000 0.749 0.500
Pa: 0.723 0.000 0.277
In: 0.803 0.500 0.803
Te: 0.500 0.758 0.500
Pa: 0.277 0.000 0.723
In: 0.197 0.500 0.197
Te: 0.000 0.000 0.000
Te: 0.500 0.242 0.500
Te: 0.000 0.251 0.500

Summary:
Space group: Cmmm
E_form (uncorrected) in meV per atom: -504.5

7.
DFT (PBE) results for crystalline Er4TmTh3 at its relaxed geometry.

Cell: 6.195 7.116 11.466 Å, 90.00 90.00 90.00°
Positions (direct):
Th: 0.476 0.384 0.250
Er: 0.646 0.132 0.500
Er: 0.985 0.127 0.751
Er: 0.985 0.127 0.249
Er: 0.644 0.126 0.000
Th: 0.151 0.376 0.500
Tm: 0.153 0.374 0.000
Tm: 0.653 0.626 0.500
Th: 0.651 0.624 0.000
Th: 0.976 0.616 0.750
Er: 0.144 0.874 0.500
Er: 0.485 0.873 0.251
Th: 0.476 0.384 0.750
Th: 0.976 0.616 0.250
Er: 0.485 0.873 0.749
Er: 0.146 0.868 0.000

Summary:
Total DFT energy (no corrections) in eV per atom: -5.582
Space group: Pmn2_1

8.
DFT (PBE) results for crystalline GdHfAl2 at its relaxed geometry.

Cell: 3.290 3.290 9.702 Å, 80.24 80.24 60.00°
Each line ends with the local moment (μB).
Positions (direct):
Al: 0.745 0.745 0.765  -0.01
Hf: 0.000 0.000 0.000  -0.09
Gd: 0.500 0.500 0.500  7.20
Al: 0.255 0.255 0.235  -0.01

Summary:
Total DFT energy (no corrections) in eV per atom: -7.962
Space group: R-3m